# BaV2SeO8

A PBEsol-optimized structure of BaV2SeO8 (meta-GGA SCAN, the Alexandria database).

Unit cell a=13.9884 b=5.3614 c=8.9562 alpha=90.00 beta=90.00 gamma=90.00
Element x y z (fractional)
Ba 0.0790 0.2500 0.1974
Ba 0.4210 0.7500 0.6974
Ba 0.5790 0.2500 0.3026
Ba 0.9210 0.7500 0.8026
V 0.1601 0.7500 0.5314
V 0.2131 0.7500 0.9393
V 0.2869 0.2500 0.4393
V 0.3399 0.2500 0.0314
V 0.6601 0.7500 0.9686
V 0.7131 0.7500 0.5607
V 0.7869 0.2500 0.0607
V 0.8399 0.2500 0.4686
Se 0.1025 0.2500 0.7766
Se 0.3975 0.7500 0.2766
Se 0.6025 0.2500 0.7234
Se 0.8975 0.7500 0.2234
O 0.0162 0.7500 0.2401
O 0.0473 0.7500 0.5804
O 0.1119 0.0031 0.9065
O 0.1119 0.4969 0.9065
O 0.1922 0.0138 0.4228
O 0.1922 0.4862 0.4228
O 0.1958 0.7500 0.1164
O 0.2242 0.7500 0.6902
O 0.2758 0.2500 0.1902
O 0.3042 0.2500 0.6164
O 0.3078 0.5138 0.9228
O 0.3078 0.9862 0.9228
O 0.3881 0.5031 0.4065
O 0.3881 0.9969 0.4065
O 0.4527 0.2500 0.0804
O 0.4838 0.2500 0.7401
O 0.5162 0.7500 0.2599
O 0.5473 0.7500 0.9196
O 0.6119 0.0031 0.5935
O 0.6119 0.4969 0.5935
O 0.6922 0.0138 0.0772
O 0.6922 0.4862 0.0772
O 0.6958 0.7500 0.3836
O 0.7242 0.7500 0.8098
O 0.7758 0.2500 0.3098
O 0.8042 0.2500 0.8836
O 0.8078 0.5138 0.5772
O 0.8078 0.9862 0.5772
O 0.8881 0.5031 0.0935
O 0.8881 0.9969 0.0935
O 0.9527 0.2500 0.4196
O 0.9838 0.2500 0.7599

Summary:
- size of the total moment (μB/atom) = 0.000
- formation energy without anion corrections (kcal/mol of atoms) = -54.1
- total energy (eV/atom) = -14.38
- theoretical density (g cm⁻³) = 4.4
- space group = Pnma, No. 62